Material: ZrMnSb2Pb
Method: DFT, PBE-GGA
State: optimized geometry

Summary:
V	29.89	A^3/atom
E_form (uncorrected)	1459	meV per atom

Cell: 5.6141 5.6141 4.7420 Å, 90.00 90.00 90.00°
Positions (direct):
Zr1 0.0000 0.0000 0.0000
Mn1 0.5000 0.5000 0.0000
Sb1 0.0000 0.5000 0.5000
Sb2 0.5000 0.0000 0.5000
Pb1 0.5000 0.5000 0.5000